1.
## Ca2IrBrN (PBE-GGA)

Data for a relaxed structure of Ca2IrBrN.

Cell: 5.4463 5.4463 4.5606 Å, 90.00 90.00 90.00°
Last column: nearest neighbours and their distance in Å.
Space group P4/mmm (No. 123)
Inequivalent atoms, fractional coordinates:
Ca (0.0000, 0.5000, 0.0000) x2  2 Br 2.72
Ir (0.0000, 0.0000, 0.5000) x1  2 Br 2.28
Br (0.0000, 0.0000, 0.0000) x1  2 Ir 2.28
N (0.5000, 0.5000, 0.5000) x1  8 Ca 3.55, 4 Ir 3.85

Values from the calculation:
The raw formation energy is 4.4 eV/f.u. For the energy above the lowest structure with this stoichiometry, the calculation gives 1816 meV per atom. The calculation puts the final energy at -3.6922 eV/atom. The calculation puts the spin magnetization at 0.23 μB per atom. The value obtained for the density of states at the Fermi level is 2.91 states/eV/cell.



2.
## K2NaMg (PBE-GGA)

Data for a relaxed structure of K2NaMg.

Cell: 4.1152 4.1152 38.8537 Å, 90.00 90.00 120.00°
Last column: nearest neighbours and their distance in Å.
Space group R3m (No. 160, hexagonal axes)
Inequivalent atoms, fractional coordinates:
K (0.0000, 0.0000, 0.0000) x3  3 Mg 3.85, 6 K 4.12, 3 Na 4.19
K (0.0000, 0.0000, 0.1773) x3  3 Mg 3.85, 6 K 4.12, 3 Na 4.18
Na (0.0000, 0.0000, 0.7554) x3  6 Na 4.12, 6 K 4.18-4.19
Mg (0.0000, 0.0000, 0.5886) x3  6 K 3.85, 6 Mg 4.12

Values from the calculation:
The calculation puts the energy of formation from the pure elements at 0.184 eV per atom. The calculation puts the final energy at -1.0935 eV/atom. The calculation puts the spin magnetization at 0.00 μB per atom. The value obtained for the density of states at the Fermi level is 9.02 states/eV/cell.